Entry 1:
# ZrTa2Be2 PBE-GGA relaxed
# Calculated volume   82.4 Å³/f.u.
# ΔH_f (0 K)   482 meV/atom
# Crystal system   tetragonal
# Polymorph energy (0 for the lowest one)   508 meV per atom
data_ZrTa2Be2
_chemical_formula_sum 'Zr2 Ta4 Be4'
_cell_length_a 4.0998
_cell_length_b 4.0998
_cell_length_c 9.8048
_cell_angle_alpha 90.00
_cell_angle_beta 90.00
_cell_angle_gamma 90.00
_space_group_name_H-M_alt 'I 4/m m m'
_space_group_IT_number 139
_space_group_name_Hall '-I 4 2'
loop_
_atom_site_label
_atom_site_type_symbol
_atom_site_fract_x
_atom_site_fract_y
_atom_site_fract_z
Zr1 Zr 0.0000 0.0000 0.0000
Ta1 Ta 0.0000 0.0000 0.3631
Be1 Be 0.0000 0.5000 0.2500

Entry 2:
# Zr2Co2W PBE-GGA relaxed
# Calculated volume   82.8 Å³/f.u.
# ΔH_f (0 K)   -94 meV/atom
# Crystal system   tetragonal
data_Zr2Co2W
_chemical_formula_sum 'Zr4 Co4 W2'
_cell_length_a 6.3415
_cell_length_b 6.3415
_cell_length_c 4.1191
_cell_angle_alpha 90.00
_cell_angle_beta 90.00
_cell_angle_gamma 90.00
_space_group_name_H-M_alt 'P 4/m b m'
_space_group_IT_number 127
_space_group_name_Hall '-P 4 2ab'
loop_
_atom_site_label
_atom_site_type_symbol
_atom_site_fract_x
_atom_site_fract_y
_atom_site_fract_z
Zr1 Zr 0.1769 0.3231 0.0000
Co1 Co 0.1332 0.6332 0.5000
W1 W 0.0000 0.0000 0.5000

Entry 3:
# CaPaPt4 PBE-GGA relaxed
# Calculated volume   129.1 Å³/f.u.
# ΔH_f (0 K)   -804 meV/atom
# Crystal system   hexagonal
# Polymorph energy (0 for the lowest one)   98 meV per atom
data_CaPaPt4
_chemical_formula_sum 'Ca1 Pa1 Pt4'
_cell_length_a 4.4956
_cell_length_b 4.4956
_cell_length_c 7.3789
_cell_angle_alpha 90.00
_cell_angle_beta 90.00
_cell_angle_gamma 120.00
_space_group_name_H-M_alt 'P 6/m m m'
_space_group_IT_number 191
_space_group_name_Hall '-P 6 2'
loop_
_atom_site_label
_atom_site_type_symbol
_atom_site_fract_x
_atom_site_fract_y
_atom_site_fract_z
Ca1 Ca 0.0000 0.0000 0.0000
Pa1 Pa 0.0000 0.0000 0.5000
Pt1 Pt 0.3333 0.6667 0.2788

Entry 4:
# SrMgCl PBE-GGA relaxed
# Calculated volume   116.1 Å³/f.u.
# Energy relative to the elements, uncorrected   -0.88 eV per atom
# Crystal system   orthorhombic
# Polymorph energy (0 for the lowest one)   18 meV per atom
data_SrMgCl
_chemical_formula_sum 'Sr4 Mg4 Cl4'
_cell_length_a 15.9011
_cell_length_b 4.1914
_cell_length_c 6.9698
_cell_angle_alpha 90.00
_cell_angle_beta 90.00
_cell_angle_gamma 90.00
_space_group_name_H-M_alt 'A m m 2'
_space_group_IT_number 38
_space_group_name_Hall 'A 2 -2'
loop_
_atom_site_label
_atom_site_type_symbol
_atom_site_fract_x
_atom_site_fract_y
_atom_site_fract_z
Sr1 Sr 0.1774 0.0000 0.0000
Mg1 Mg 0.0000 0.0000 0.3448
Mg2 Mg 0.5000 0.0000 0.3292
Cl1 Cl 0.2837 0.0000 0.3398

> Look up the calculated volume of the fourth one.

116.1 Å³/f.u.